(1)
Material: Tb8Sm6Tl
Method: DFT, PBE
State: optimized geometry

Results
* DFT total energy: -66.51 eV/cell
* space group: No. 147
* ΔE_f: 7.8 kJ per mole of atoms
* total magnetic moment: 0.0 μB per cell

Unit cell a=9.4242 b=9.4242 c=6.4187 alpha=90.00 beta=90.00 gamma=120.00
Atoms (fractional coordinates):
Tb  0.0390  0.2648  0.3144
Tb  0.2258  0.9610  0.3144
Tb  0.2648  0.2258  0.6856
Tb  0.3333  0.6667  0.3362
Tb  0.6667  0.3333  0.6638
Tb  0.7352  0.7742  0.3144
Tb  0.7742  0.0390  0.6856
Tb  0.9610  0.7352  0.6856
Sm  0.0921  0.4515  0.8203
Sm  0.3594  0.9079  0.8203
Sm  0.4515  0.3594  0.1797
Sm  0.5485  0.6406  0.8203
Sm  0.6406  0.0921  0.1797
Sm  0.9079  0.5485  0.1797
Tl  0.0000  0.0000  0.0000

(2)
Material: U2RuC
Method: DFT, PBE
State: optimized geometry

Results
* DFT total energy: -83.04 eV/cell
* space group: No. 12
* energy above the lowest structure with this stoichiometry: 0.0 meV per atom
* ΔE_f: -10.7 kJ per mole of atoms
* total magnetic moment: 1.3 μB per cell

Unit cell a=5.3833 b=3.4068 c=7.4215 alpha=90.00 beta=103.32 gamma=90.00
Atoms (fractional coordinates):
U  0.0940  0.0000  0.2929
U  0.4060  0.5000  0.7071
U  0.5940  0.5000  0.2929
U  0.9060  0.0000  0.7071
Ru  0.0000  0.5000  0.0000
Ru  0.5000  0.0000  0.0000
C  0.0000  0.5000  0.5000
C  0.5000  0.0000  0.5000

(3)
Material: HoScIn2Pd4
Method: DFT, PBE
State: optimized geometry

Results
* DFT total energy: -43.74 eV/cell
* space group: No. 166
* ΔE_f: -79.4 kJ per mole of atoms
* total magnetic moment: 0.0 μB per cell

Unit cell a=8.2068 b=8.2068 c=8.2068 alpha=33.39 beta=33.39 gamma=33.39
Atoms (fractional coordinates):
Ho  0.0000  0.0000  0.0000
Sc  0.5000  0.5000  0.5000
In  0.2490  0.2490  0.2490
In  0.7510  0.7510  0.7510
Pd  0.1273  0.1273  0.1273
Pd  0.3789  0.3789  0.3789
Pd  0.6211  0.6211  0.6211
Pd  0.8727  0.8727  0.8727

(4)
Material: FeOsS2Cl
Method: DFT, PBE
State: optimized geometry

Results
* DFT total energy: -23.97 eV/cell
* space group: No. 123
* energy above the lowest structure with this stoichiometry: 377.5 meV per atom
* total magnetic moment: 3.4 μB per cell

Unit cell a=4.4072 b=4.4072 c=4.3747 alpha=90.00 beta=90.00 gamma=90.00
Atoms (fractional coordinates):
Fe  0.0000  0.0000  0.0000
Os  0.5000  0.5000  0.5000
S  0.0000  0.5000  0.0000
S  0.5000  0.0000  0.0000
Cl  0.0000  0.0000  0.5000

(5)
Material: TaSbCI2
Method: DFT, PBE
State: optimized geometry

Results
* DFT total energy: -20.18 eV/cell
* space group: No. 123
* energy above the lowest structure with this stoichiometry: 0.0 meV per atom
* total magnetic moment: 1.7 μB per cell

Unit cell a=4.8357 b=4.8357 c=4.7399 alpha=90.00 beta=90.00 gamma=90.00
Atoms (fractional coordinates):
Ta  0.0000  0.0000  0.0000
Sb  0.5000  0.5000  0.0000
C  0.5000  0.5000  0.5000
I  0.0000  0.5000  0.5000
I  0.5000  0.0000  0.5000

(6)
Material: Sr3Sm2HoTe6
Method: DFT, PBE
State: optimized geometry

Results
* DFT total energy: -56.10 eV/cell
* space group: No. 12
* total magnetic moment: 0.0 μB per cell

Unit cell a=7.8198 b=7.8198 c=8.0156 alpha=99.38 beta=99.38 gamma=119.93
Atoms (fractional coordinates):
Sr  0.0000  0.0000  0.0000
Sr  0.3308  0.6692  0.0000
Sr  0.6692  0.3308  0.0000
Sm  0.1655  0.8345  0.5000
Sm  0.8345  0.1655  0.5000
Ho  0.5000  0.5000  0.5000
Te  0.0948  0.4225  0.2662
Te  0.2518  0.2518  0.7362
Te  0.4225  0.0948  0.2662
Te  0.5775  0.9052  0.7338
Te  0.7482  0.7482  0.2638
Te  0.9052  0.5775  0.7338

(7)
Material: LiTlP2PbO
Method: DFT, PBE
State: optimized geometry

Results
* DFT total energy: -26.95 eV/cell
* space group: No. 1
* energy above the lowest structure with this stoichiometry: 175.9 meV per atom
* total magnetic moment: 0.0 μB per cell

Unit cell a=4.0877 b=5.5617 c=6.8863 alpha=70.14 beta=74.78 gamma=82.85
Atoms (fractional coordinates):
Li  0.0000  0.0000  0.0000
Tl  0.5144  0.4766  0.3047
P  0.6325  0.9179  0.7764
P  0.9941  0.9820  0.4598
Pb  0.1983  0.5716  0.7805
O  0.8768  0.8926  0.2941

(8)
Material: TiGe2Rh
Method: DFT, PBE
State: optimized geometry

Results
* DFT total energy: -52.37 eV/cell
* space group: No. 12
* ΔE_f: -41.1 kJ per mole of atoms
* total magnetic moment: 0.0 μB per cell

Unit cell a=7.0411 b=4.0785 c=5.0057 alpha=90.00 beta=118.07 gamma=90.00
Atoms (fractional coordinates):
Ti  0.0000  0.0000  0.0000
Ti  0.5000  0.5000  0.0000
Ge  0.2372  0.0000  0.7116
Ge  0.2628  0.5000  0.2884
Ge  0.7372  0.5000  0.7116
Ge  0.7628  0.0000  0.2884
Rh  0.0000  0.5000  0.5000
Rh  0.5000  0.0000  0.5000

Question: Which of these has the highest DFT total energy?
Answer: TaSbCI2

Question: Among the records above, which one has the highest DFT total energy?
Answer: TaSbCI2

Question: What is the total magnetic moment in the eighth record?
Answer: 0.0 μB per cell